# 1
Crystalline PmErMg2Pd4 at its relaxed geometry. Source: the Alexandria database, functional PBE.

Cell and atoms, written as CIF:
```
data_PmErMg2Pd4
_chemical_formula_sum 'Pm1 Er1 Mg2 Pd4'
_cell_length_a 8.4294
_cell_length_b 8.4294
_cell_length_c 8.4294
_cell_angle_alpha 32.89
_cell_angle_beta 32.89
_cell_angle_gamma 32.89
_symmetry_space_group_name_H-M 'P 1'
_symmetry_Int_Tables_number 1
_symmetry_space_group_name_Hall 'P 1'
loop_
_atom_site_label
_atom_site_fract_x
_atom_site_fract_y
_atom_site_fract_z
_atom_site_occupancy
Pm1 0.0000 0.0000 0.0000 1
Er1 0.5000 0.5000 0.5000 1
Mg1 0.2479 0.2479 0.2479 1
Mg2 0.7521 0.7521 0.7521 1
Pd1 0.1261 0.1261 0.1261 1
Pd2 0.3808 0.3808 0.3808 1
Pd3 0.6192 0.6192 0.6192 1
Pd4 0.8739 0.8739 0.8739 1
```

Output
Density in Mg/m³: 8.31
Total magnetic moment in μB/cell: 0.0
Energy of formation in meV/atom: -773

---

# 2
Crystalline YCd4Co at its relaxed geometry. Source: the Alexandria database, functional PBE.

Cell and atoms, written as CIF:
```
data_YCd4Co
_chemical_formula_sum 'Y1 Cd4 Co1'
_cell_length_a 5.6302
_cell_length_b 5.6302
_cell_length_c 5.6302
_cell_angle_alpha 60.00
_cell_angle_beta 60.00
_cell_angle_gamma 60.00
_symmetry_space_group_name_H-M 'P 1'
_symmetry_Int_Tables_number 1
_symmetry_space_group_name_Hall 'P 1'
loop_
_atom_site_label
_atom_site_fract_x
_atom_site_fract_y
_atom_site_fract_z
_atom_site_occupancy
Y1 0.0000 0.0000 0.0000 1
Cd1 0.1272 0.6243 0.6243 1
Cd2 0.6243 0.1272 0.6243 1
Cd3 0.6243 0.6243 0.1272 1
Cd4 0.6243 0.6243 0.6243 1
Co1 0.2500 0.2500 0.2500 1
```

Output
Density in Mg/m³: 7.86
Total magnetic moment in μB/cell: 0.0
Energy of formation in meV/atom: 122